A geometry-optimized BaTl4 structure, computed with PBE-GGA.

The structure in CIF format:
```
data_BaTl4
_chemical_formula_sum 'Ba4 Tl16'
_cell_length_a 12.735
_cell_length_b 5.472
_cell_length_c 10.757
_cell_angle_alpha 90.00
_cell_angle_beta 116.35
_cell_angle_gamma 90.00
_symmetry_space_group_name_H-M 'C 1 2/m 1'
_symmetry_Int_Tables_number 12
_symmetry_space_group_name_Hall '-C 2y'
loop_
_atom_site_label
_atom_site_type_symbol
_atom_site_fract_x
_atom_site_fract_y
_atom_site_fract_z
Ba1 Ba 0.183 0.000 0.210
Tl1 Tl 0.045 0.500 0.381
Tl2 Tl 0.103 0.500 0.957
Tl3 Tl 0.116 0.000 0.808
Tl4 Tl 0.158 0.000 0.537
```

Output
Crystal system: monoclinic
E: -2.5187 eV/atom
V: 33.6 Å³ per atom
Size of the total moment: 0.00 μB per formula unit

=====

A geometry-optimized BaTl structure, computed with PBE-GGA.

The structure in CIF format:
```
data_BaTl
_chemical_formula_sum 'Ba8 Tl8'
_cell_length_a 14.118
_cell_length_b 5.931
_cell_length_c 7.482
_cell_angle_alpha 90.00
_cell_angle_beta 90.00
_cell_angle_gamma 90.00
_symmetry_space_group_name_H-M 'P n m a'
_symmetry_Int_Tables_number 62
_symmetry_space_group_name_Hall '-P 2ac 2n'
loop_
_atom_site_label
_atom_site_type_symbol
_atom_site_fract_x
_atom_site_fract_y
_atom_site_fract_z
Ba1 Ba 0.050 0.250 0.184
Ba2 Ba 0.175 0.750 0.461
Tl1 Tl 0.101 0.250 0.700
Tl2 Tl 0.185 0.750 0.957
```

Output
Crystal system: orthorhombic
E: -2.5257 eV/atom
V: 39.2 Å³ per atom
Size of the total moment: 0.00 μB per formula unit

=====

A geometry-optimized Ba5Tl structure, computed with PBE-GGA.

The structure in CIF format:
```
data_Ba5Tl
_chemical_formula_sum 'Ba10 Tl2'
_cell_length_a 6.661
_cell_length_b 4.713
_cell_length_c 20.362
_cell_angle_alpha 90.00
_cell_angle_beta 90.00
_cell_angle_gamma 90.00
_symmetry_space_group_name_H-M 'A m m 2'
_symmetry_Int_Tables_number 38
_symmetry_space_group_name_Hall 'A 2 -2'
loop_
_atom_site_label
_atom_site_type_symbol
_atom_site_fract_x
_atom_site_fract_y
_atom_site_fract_z
Ba1 Ba 0.000 0.000 0.000
Ba2 Ba 0.000 0.000 0.282
Ba3 Ba 0.500 0.000 0.141
Ba4 Ba 0.500 0.000 0.471
Ba5 Ba 0.500 0.000 0.810
Tl1 Tl 0.000 0.000 0.641
```

Output
Crystal system: orthorhombic
E: -2.0674 eV/atom
V: 53.3 Å³ per atom
Size of the total moment: 0.00 μB per formula unit
Energy above the most stable polymorph in this dataset: 0.066 eV per atom

=====

A geometry-optimized Ba3Tl structure, computed with PBE-GGA.

The structure in CIF format:
```
data_Ba3Tl
_chemical_formula_sum 'Ba3 Tl1'
_cell_length_a 4.5176
_cell_length_b 4.5176
_cell_length_c 12.5693
_cell_angle_alpha 90.00
_cell_angle_beta 90.00
_cell_angle_gamma 120.00
_symmetry_space_group_name_H-M 'P -6 m 2'
_symmetry_Int_Tables_number 187
_symmetry_space_group_name_Hall 'P -6 2'
loop_
_atom_site_label
_atom_site_type_symbol
_atom_site_fract_x
_atom_site_fract_y
_atom_site_fract_z
Ba1 Ba 0.0000 0.0000 0.0000
Ba2 Ba 0.3333 0.6667 0.3035
Tl1 Tl 0.0000 0.0000 0.5000
```

Output
Crystal system: hexagonal
E: -2.1535 eV/atom
V: 55.5 Å³ per atom
Size of the total moment: 0.01 μB per formula unit

=====

A geometry-optimized BaTl structure, computed with PBE-GGA.

The structure in CIF format:
```
data_BaTl
_chemical_formula_sum 'Ba4 Tl4'
_cell_length_a 5.296
_cell_length_b 5.296
_cell_length_c 10.971
_cell_angle_alpha 90.00
_cell_angle_beta 90.00
_cell_angle_gamma 90.00
_symmetry_space_group_name_H-M 'I 41/a m d'
_symmetry_Int_Tables_number 141
loop_
_symmetry_equiv_pos_as_xyz
'x,y,z'
'-x,-y,-z'
'-y+1/4,x+3/4,z+1/4'
'y+1/4,-x+3/4,-z+1/4'
'-x+1/2,-y,z+1/2'
'x+1/2,y,-z+1/2'
'y+1/4,-x+1/4,z+3/4'
'-y+1/4,x+1/4,-z+3/4'
'x,-y,-z'
'-x,y,z'
'-y+1/4,-x+1/4,-z+3/4'
'y+1/4,x+1/4,z+3/4'
'-x+1/2,y,-z+1/2'
'x+1/2,-y,z+1/2'
'y+1/4,x+3/4,-z+1/4'
'-y+1/4,-x+3/4,z+1/4'
'x+1/2,y+1/2,z+1/2'
'-x+1/2,-y+1/2,-z+1/2'
'-y+3/4,x+1/4,z+3/4'
'y+3/4,-x+1/4,-z+3/4'
'-x,-y+1/2,z'
'x,y+1/2,-z'
'y+3/4,-x+3/4,z+1/4'
'-y+3/4,x+3/4,-z+1/4'
'x+1/2,-y+1/2,-z+1/2'
'-x+1/2,y+1/2,z+1/2'
'-y+3/4,-x+3/4,-z+1/4'
'y+3/4,x+3/4,z+1/4'
'-x,y+1/2,-z'
'x,-y+1/2,z'
'y+3/4,x+1/4,-z+3/4'
'-y+3/4,-x+1/4,z+3/4'
loop_
_atom_site_label
_atom_site_type_symbol
_atom_site_fract_x
_atom_site_fract_y
_atom_site_fract_z
Ba1 Ba 0.000 0.250 0.375
Tl1 Tl 0.000 0.250 0.875
```

Output
Crystal system: tetragonal
E: -2.4077 eV/atom
V: 38.5 Å³ per atom
Size of the total moment: 0.00 μB per formula unit

=====

A geometry-optimized Ba3Tl2 structure, computed with PBE-GGA.

The structure in CIF format:
```
data_Ba3Tl2
_chemical_formula_sum 'Ba6 Tl4'
_cell_length_a 4.356
_cell_length_b 4.356
_cell_length_c 23.621
_cell_angle_alpha 90.00
_cell_angle_beta 90.00
_cell_angle_gamma 90.00
_symmetry_space_group_name_H-M 'I 4/m m m'
_symmetry_Int_Tables_number 139
_symmetry_space_group_name_Hall '-I 4 2'
loop_
_atom_site_label
_atom_site_type_symbol
_atom_site_fract_x
_atom_site_fract_y
_atom_site_fract_z
Ba1 Ba 0.000 0.000 0.000
Ba2 Ba 0.000 0.000 0.174
Tl1 Tl 0.000 0.000 0.408
```

Output
Crystal system: tetragonal
E: -2.4419 eV/atom
V: 44.8 Å³ per atom
Size of the total moment: 0.00 μB per formula unit
Energy above the most stable polymorph in this dataset: 0.000 eV per atom